[1]
This record from Alexandria describes a relaxed Rb3Tl4Se4 crystal. The functional is PBE.

abc: 12.4288 4.5570 14.3560
angles: 90.00 90.00 90.00
Last column: nearest neighbours and their distance in Å.
Space group Amm2 (No. 38)
Symmetry-distinct sites (fractional):
Rb1 0.0000 0.0000 0.0000 x2  2 Se 3.41, 2 Tl 3.61
Rb2 0.3340 0.0000 0.0632 x4  4 Se 3.49-3.63, 2 Tl 3.83
Tl1 0.0000 0.0000 0.3046 x2  4 Se 2.93-3.22
Tl2 0.2462 0.0000 0.7633 x4  4 Se 3.02-3.30
Tl3 0.5000 0.0000 0.3412 x2  4 Se 3.07-3.41
Se1 0.0000 0.0000 0.6765 x2  2 Tl 2.93
Se2 0.2341 0.0000 0.4007 x4  3 Tl 3.02-3.22
Se3 0.5000 0.0000 0.6976 x2  4 Tl 3.07-3.29

Properties
Uncorrected formation energy = -0.628 eV/atom
Energy relative to the lowest polymorph listed for this composition = 0.046 eV/atom

***

[2]
This record from Alexandria describes a relaxed RbTlSe crystal. The functional is PBE.

abc: 4.4137 16.0155 6.8038
angles: 90.00 90.00 90.00
Last column: nearest neighbours and their distance in Å.
Space group Cmcm (No. 63)
Symmetry-distinct sites (fractional):
Rb1 0.0000 0.1851 0.2500 x4  4 Se 3.44-3.45
Tl1 0.0000 0.4653 0.2500 x4  2 Se 2.88
Se1 0.0000 0.1501 0.7500 x4  2 Tl 2.88

Properties
Uncorrected formation energy = -0.740 eV/atom
Energy relative to the lowest polymorph listed for this composition = 0.013 eV/atom

***

[3]
This record from Alexandria describes a relaxed RbTlSe crystal. The functional is PBE.

abc: 4.7752 6.7833 8.0188
angles: 66.35 89.74 89.75
Last column: nearest neighbours and their distance in Å.
Space group P-1 (No. 2)
Symmetry-distinct sites (fractional):
Rb1 0.2469 0.2082 0.1041 x2  4 Se 3.44-3.53
Tl1 0.2514 0.2449 0.5727 x2  3 Se 2.98-3.10
Se1 0.2515 0.6460 0.2337 x2  3 Tl 2.98-3.10

Properties
Uncorrected formation energy = -0.753 eV/atom
Energy relative to the lowest polymorph listed for this composition = 0.000 eV/atom

***

[4]
This record from Alexandria describes a relaxed Rb2Tl2Se3 crystal. The functional is PBE.

abc: 16.5299 4.6921 8.0625
angles: 90.00 115.28 90.00
Last column: nearest neighbours and their distance in Å.
Space group C2/m (No. 12)
Symmetry-distinct sites (fractional):
Rb1 0.1063 0.0000 0.3477 x4  5 Se 3.46-3.61
Tl1 0.1679 0.5000 0.8038 x4  4 Se 2.81-3.00
Se1 0.0000 0.5000 0.5000 x2  2 Tl 2.81
Se2 0.2178 0.5000 0.1912 x4  3 Tl 2.87-3.00

Properties
Uncorrected formation energy = -0.700 eV/atom
Energy relative to the lowest polymorph listed for this composition = 0.000 eV/atom

***

[5]
This record from Alexandria describes a relaxed Rb3Tm2TlSe6 crystal. The functional is PBE.

abc: 7.3147 12.6675 8.3760
angles: 90.00 106.89 90.00
Last column: nearest neighbours and their distance in Å.
Space group C2/m (No. 12)
Symmetry-distinct sites (fractional):
Rb1 0.0000 0.0000 0.0000 x2  6 Se 3.42-3.47
Rb2 0.0000 0.3356 0.0000 x4  6 Se 3.44-3.47
Tm1 0.0000 0.1669 0.5000 x4  6 Se 2.88
Tl1 0.0000 0.5000 0.5000 x2  6 Se 2.94
Se1 0.2248 0.0000 0.6946 x4  2 Tm 2.88, 1 Tl 2.94
Se2 0.2351 0.3300 0.6953 x8  2 Tm 2.88, 1 Tl 2.94

Properties
Uncorrected formation energy = -1.313 eV/atom

***

[6]
This record from Alexandria describes a relaxed RbUTlSe3 crystal. The functional is PBE.

abc: 7.9671 15.9154 7.4068
angles: 90.00 103.12 90.00
Last column: nearest neighbours and their distance in Å.
Space group C2/c (No. 15)
Symmetry-distinct sites (fractional):
Rb1 0.0000 0.2479 0.2500 x4  8 Se 3.72-4.13
U1 0.0000 0.0554 0.7500 x4  5 Se 2.67-2.81
Tl1 0.0000 0.4212 0.7500 x4  5 Se 3.15-3.26
Se1 0.0000 0.2231 0.7500 x4  1 U 2.67
Se2 0.2205 0.0478 0.5030 x8  2 U 2.79-2.81

Properties
Uncorrected formation energy = -0.930 eV/atom